No. 1
AcHfPd3 (PBE, relaxed); ΔE_f = 444 kJ/mol of formula units; magnetization = 0.1 μB/f.u.
1.0
5.1972 0.0000 0.0000
0.0000 5.1972 0.0000
0.0000 0.0000 5.1972
Ac Hf Pd
1 1 3
Direct
0.0000 0.0000 0.0000
0.5000 0.5000 0.5000
0.0000 0.0000 0.5000
0.0000 0.5000 0.0000
0.5000 0.0000 0.0000

---

No. 2
TbTm2 (PBE, relaxed); ΔE to the lowest computed polymorph = 0.0 meV/atom; ΔE_f = 80 kJ/mol of formula units; magnetization = 0.7 μB/f.u.
1.0
0.0000 4.5887 4.5887
4.5887 0.0000 4.5887
4.5887 4.5887 0.0000
Tb Tm
2 4
Direct
0.1250 0.1250 0.1250
0.8750 0.8750 0.8750
0.0000 0.5000 0.5000
0.5000 0.0000 0.5000
0.5000 0.5000 0.0000
0.5000 0.5000 0.5000

---

No. 3
YZrZnCo (PBE, relaxed); ΔE to the lowest computed polymorph = 0.0 meV/atom; ΔE_f = 17 kJ/mol of formula units; magnetization = 0.0 μB/f.u.
1.0
0.0000 3.2770 3.2770
3.2770 0.0000 3.2770
3.2770 3.2770 0.0000
Y Zr Zn Co
1 1 1 1
Direct
0.0000 0.0000 0.0000
0.7500 0.7500 0.7500
0.2500 0.2500 0.2500
0.5000 0.5000 0.5000

---

No. 4
BaCdTeO (PBE, relaxed); electronic total energy = -15.93 eV per formula unit
1.0
4.1677 0.0000 0.0000
0.0000 4.1677 0.0000
0.0000 0.0000 11.7859
Ba Cd Te O
2 2 2 2
Direct
0.2500 0.2500 0.1185
0.7500 0.7500 0.8815
0.2500 0.7500 0.5000
0.7500 0.2500 0.5000
0.2500 0.2500 0.6830
0.7500 0.7500 0.3170
0.2500 0.2500 0.9073
0.7500 0.7500 0.0927